TlCd2InPd after structural relaxation, computed with PBE.

Calculated values
Its final energy is -2.4983 eV per atom. Its energy of formation from the pure elements is -0.36 eV per formula unit.

```
TlCd2InPd
1.0
5.263 0.000 0.000
0.000 5.263 0.000
0.000 0.000 5.128
Tl In Cd Pd
1 1 2 1
Direct
0.500 0.500 0.500
0.000 0.000 0.500
0.000 0.500 0.000
0.500 0.000 0.000
0.000 0.000 0.000
```

---

Sc2VCdH after structural relaxation, computed with PBE.

Calculated values
Its final energy is -5.3287 eV per atom.

```
Sc2VCdH
1.0
-0.568 -4.570 -1.126
2.335 0.711 -4.064
3.183 -0.811 1.687
Sc H V Cd
2 1 1 1
Direct
0.000 0.500 0.000
0.500 0.000 0.000
0.000 0.000 0.000
0.000 0.000 0.500
0.500 0.500 0.500
```

---

ScTaAs2 after structural relaxation, computed with PBE.

Calculated values
Its final energy is -6.7500 eV per atom. Its energy of formation from the pure elements is 0.48 eV per formula unit.

```
ScTaAs2
1.0
4.694 0.000 0.000
2.347 4.065 0.000
2.347 1.355 3.833
As Ta Sc
2 1 1
Direct
0.750 0.750 0.750
0.000 0.000 0.000
0.250 0.250 0.250
0.500 0.500 0.500
```

---

Nd6Ge2As3Br after structural relaxation, computed with PBE.

Calculated values
The calculation puts the uncorrected formation energy at -1.2738 eV per atom. Its final energy is -5.7290 eV per atom.

```
Nd6Ge2As3Br
1.0
4.250 0.000 0.000
0.000 8.660 0.323
-2.125 -2.481 9.015
Nd As Br Ge
6 3 1 2
Direct
0.667 0.585 0.334
0.672 0.087 0.344
0.328 0.913 0.656
0.998 0.731 0.997
0.002 0.269 0.003
0.333 0.415 0.666
0.837 0.165 0.674
0.163 0.835 0.326
0.500 0.500 0.000
0.500 0.000 0.000
0.835 0.669 0.670
0.165 0.331 0.330
```

---

TbHfPdAu after structural relaxation, computed with PBE.

Calculated values
Its final energy is -6.3758 eV per atom. Its energy of formation from the pure elements is -2.45 eV per formula unit.

```
TbHfPdAu
1.0
4.899 0.000 0.000
2.450 4.243 0.000
2.450 1.414 4.000
Hf Pd Au Tb
1 1 1 1
Direct
0.750 0.750 0.750
0.500 0.500 0.500
0.000 0.000 0.000
0.250 0.250 0.250
```

---

CeGaRu3 after structural relaxation, computed with PBE.

Calculated values
Its final energy is -7.5799 eV per atom. Its energy of formation from the pure elements is -1.11 eV per formula unit.

```
CeGaRu3
1.0
-0.323 -4.702 2.688
1.620 -4.277 -7.288
7.309 0.319 1.437
Ru Ce Ga
12 4 4
Direct
0.996 0.286 0.750
0.004 0.714 0.250
0.496 0.214 0.750
0.242 0.246 0.431
0.742 0.254 0.069
0.504 0.786 0.250
0.758 0.754 0.569
0.242 0.246 0.069
0.258 0.746 0.569
0.258 0.746 0.931
0.758 0.754 0.931
0.742 0.254 0.431
0.504 0.503 0.250
0.496 0.497 0.750
0.996 0.003 0.750
0.004 0.997 0.250
0.000 0.500 0.500
0.000 0.500 0.000
0.500 0.000 0.000
0.500 0.000 0.500
```

---

Zr2TaMn after structural relaxation, computed with PBE.

Calculated values
Its final energy is -9.2972 eV per atom. Its energy of formation from the pure elements is 0.93 eV per formula unit.

```
Zr2TaMn
1.0
-2.304 1.977 1.452
-2.149 0.589 -4.213
-2.653 -3.706 0.836
Zr Mn Ta
2 1 1
Direct
0.000 0.000 0.000
0.500 0.500 0.000
0.500 0.000 0.500
0.000 0.500 0.500
```

---

Ho2MgPb2 after structural relaxation, computed with PBE.

Calculated values
Its final energy is -4.0209 eV per atom. Its energy of formation from the pure elements is -1.94 eV per formula unit.

```
Ho2MgPb2
1.0
-2.940 0.048 3.798
-5.262 -1.884 -4.050
3.260 -8.230 -0.409
Pb Mg Ho
4 2 4
Direct
0.184 0.441 0.369
0.428 0.478 0.857
0.572 0.978 0.143
0.816 0.941 0.631
0.396 0.046 0.791
0.604 0.546 0.209
0.988 0.737 0.976
0.012 0.237 0.024
0.805 0.432 0.610
0.195 0.932 0.390
```

---

Ca2TiOsPt after structural relaxation, computed with PBE.

Calculated values
Its final energy is -4.9608 eV per atom. Its energy of formation from the pure elements is 4.36 eV per formula unit.

```
Ca2TiOsPt
1.0
-1.541 -5.052 1.116
3.140 -0.158 3.620
-3.778 1.894 3.359
Os Ca Ti Pt
1 2 1 1
Direct
0.000 0.000 0.000
0.000 0.000 0.500
0.500 0.000 0.000
0.500 0.500 0.500
0.000 0.500 0.000
```

---

NaPm2S3 after structural relaxation, computed with PBE.

Calculated values
The calculation puts the uncorrected formation energy at -1.8789 eV per atom. Its final energy is -5.7460 eV per atom.

```
NaPm2S3
1.0
-0.486 2.437 -3.171
-1.999 -4.376 -3.057
-4.439 2.262 4.978
Pm S Na
2 3 1
Direct
0.837 0.837 0.174
0.163 0.163 0.826
0.170 0.670 0.841
0.830 0.330 0.159
0.500 0.000 0.500
0.500 0.500 0.500
```

---

Na2PtI6 after structural relaxation, computed with PBE.

Calculated values
The calculation puts the uncorrected formation energy at -0.5441 eV per atom. Its final energy is -2.5418 eV per atom.

```
Na2PtI6
1.0
7.263 0.000 0.000
0.000 7.263 0.000
0.000 0.000 13.426
Pt I Na
2 12 4
Direct
0.500 0.500 0.000
0.000 0.000 0.500
0.735 0.735 0.500
0.182 0.818 0.353
0.765 0.235 0.000
0.182 0.818 0.647
0.818 0.182 0.353
0.318 0.318 0.147
0.682 0.682 0.853
0.265 0.265 0.500
0.818 0.182 0.647
0.318 0.318 0.853
0.235 0.765 0.000
0.682 0.682 0.147
0.000 0.000 0.835
0.500 0.500 0.335
0.500 0.500 0.665
0.000 0.000 0.165
```

---

Tb2Pr4SmTm2 after structural relaxation, computed with PBE.

Calculated values
Its final energy is -4.6492 eV per atom. Its energy of formation from the pure elements is 0.20 eV per formula unit.

```
Tb2Pr4SmTm2
1.0
-4.288 2.753 -0.466
1.463 -3.673 -7.079
-3.907 -5.290 4.698
Pr Sm Tm Tb
4 1 2 2
Direct
0.777 0.554 0.670
0.554 0.107 0.330
0.446 0.893 0.670
0.223 0.446 0.330
0.000 0.000 0.000
0.668 0.337 0.999
0.332 0.663 0.001
0.888 0.777 0.330
0.112 0.223 0.670
```

---

Cd2AgPb after structural relaxation, computed with PBE.

Calculated values
Its final energy is -2.0258 eV per atom. Its energy of formation from the pure elements is 0.29 eV per formula unit.

```
Cd2AgPb
1.0
5.643 0.126 0.000
1.947 5.298 0.000
-3.795 -2.712 3.178
Cd Ag Pb
2 1 1
Direct
0.250 0.750 0.500
0.000 0.000 0.000
0.750 0.250 0.500
0.500 0.500 0.000
```

---

LaMn3P after structural relaxation, computed with PBE.

Calculated values
Its final energy is -7.5170 eV per atom. Its energy of formation from the pure elements is 0.26 eV per formula unit.

```
LaMn3P
1.0
-2.190 1.484 -3.494
-3.701 0.060 2.346
0.842 4.123 1.223
Mn La P
3 1 1
Direct
0.000 0.500 0.000
0.500 0.000 0.000
0.000 0.000 0.500
0.500 0.500 0.500
0.000 0.000 0.000
```

---

HoTm2Se4 after structural relaxation, computed with PBE.

Calculated values
The calculation puts the uncorrected formation energy at -1.8569 eV per atom. Its final energy is -5.7796 eV per atom.

```
HoTm2Se4
1.0
-6.652 3.844 -2.623
-7.073 -1.235 3.566
-3.307 5.840 4.385
Se Tm Ho
8 4 2
Direct
0.255 0.747 0.743
0.745 0.757 0.753
0.755 0.249 0.749
0.247 0.249 0.749
0.745 0.253 0.257
0.753 0.751 0.251
0.255 0.243 0.247
0.245 0.751 0.251
0.000 0.000 0.000
0.000 0.000 0.500
0.500 0.000 0.500
0.000 0.500 0.500
0.000 0.500 0.000
0.500 0.500 0.000
```

---

LiCl5 after structural relaxation, computed with PBE.

Calculated values
The calculation puts the uncorrected formation energy at 0.1717 eV per atom. Its final energy is -1.6862 eV per atom.

```
LiCl5
1.0
0.000 4.115 4.115
4.115 0.000 4.115
4.115 4.115 0.000
Cl Li
5 1
Direct
0.625 0.125 0.625
0.125 0.625 0.625
0.625 0.625 0.625
0.625 0.625 0.125
0.250 0.250 0.250
0.000 0.000 0.000
```

---

Fe2CuP after structural relaxation, computed with PBE.

Calculated values
Its final energy is -6.5954 eV per atom. Its energy of formation from the pure elements is 0.05 eV per formula unit.

```
Fe2CuP
1.0
-1.291 -4.217 0.455
0.262 -1.297 4.232
-1.846 3.521 -1.963
Fe P Cu
2 1 1
Direct
0.250 0.750 0.500
0.000 0.000 0.000
0.500 0.500 0.000
0.750 0.250 0.500
```

---

TaP2SeS after structural relaxation, computed with PBE.

Calculated values
The calculation puts the uncorrected formation energy at 1.4193 eV per atom. Its final energy is -4.6376 eV per atom.

```
TaP2SeS
1.0
-2.961 -2.418 -2.740
-2.498 -1.403 3.937
-2.745 3.800 -0.387
P S Ta Se
2 1 1 1
Direct
0.500 0.000 0.000
0.000 0.000 0.500
0.500 0.500 0.500
0.000 0.500 0.000
0.000 0.000 0.000
```

---

TlIn2Re after structural relaxation, computed with PBE.

Calculated values
Its final energy is -4.1384 eV per atom. Its energy of formation from the pure elements is 3.74 eV per formula unit.

```
TlIn2Re
1.0
0.000 3.523 3.523
3.523 0.000 3.523
3.523 3.523 0.000
Re In Tl
1 2 1
Direct
0.000 0.000 0.000
0.750 0.750 0.750
0.250 0.250 0.250
0.500 0.500 0.500
```

---

EuPuInAu after structural relaxation, computed with PBE.

Calculated values
Its final energy is -7.9941 eV per atom. Its energy of formation from the pure elements is -1.35 eV per formula unit.

```
EuPuInAu
1.0
-2.756 -2.153 4.053
-4.853 -2.085 -0.872
-0.717 -5.300 0.232
Pu Au Eu In
1 1 1 1
Direct
0.500 0.500 0.500
0.250 0.250 0.250
0.000 0.000 0.000
0.750 0.750 0.750
```

---

| no. | volume (Å³/cell) |
| --- | --- |
| 1 | 142.1 |
| 2 | 83.0 |
| 3 | 73.1 |
| 4 | 335.2 |
| 5 | 83.2 |
| 6 | 348.1 |
| 7 | 74.3 |
| 8 | 282.8 |
| 9 | 139.7 |
| 10 | 140.5 |
| 11 | 708.1 |
| 12 | 302.0 |
| 13 | 94.2 |
| 14 | 84.2 |
| 15 | 367.5 |
| 16 | 139.4 |
| 17 | 46.1 |
| 18 | 107.7 |
| 19 | 87.4 |
| 20 | 108.5 |